1.
A plane-wave DFT calculation with PBE-GGA was carried out for Sr2VTc after structural relaxation.

Values from the calculation:
energy of formation: 1.1684 eV/atom
volume: 111.81 Å³ per cell
energy: -4.54 eV/atom

Structure (extended XYZ):
```
4
Lattice="0.000 3.824 3.824 3.824 0.000 3.824 3.824 3.824 0.000" Properties=species:S:1:pos:R:3 pbc="T T T"
Sr 1.912 1.912 1.912
Sr 5.736 5.736 5.736
V 0.000 0.000 0.000
Tc 3.824 3.824 3.824
```

=====

2.
A plane-wave DFT calculation with PBE-GGA was carried out for Sr2VTc after structural relaxation.

Values from the calculation:
energy of formation: 1.3269 eV/atom
volume: 225.12 Å³ per cell
energy: -4.39 eV/atom

Structure (extended XYZ):
```
8
Lattice="-4.313 4.313 3.025 4.313 -4.313 3.025 4.313 4.313 -3.025" Properties=species:S:1:pos:R:3 pbc="T T T"
Sr 6.470 1.954 -0.756
Sr 1.954 2.157 0.756
Sr -2.157 2.359 2.269
Sr 2.359 2.157 3.781
V 4.313 0.000 1.513
V 0.000 0.000 3.025
Tc 0.000 0.000 0.000
Tc 0.000 4.313 1.513
```

=====

3.
A plane-wave DFT calculation with PBE-GGA was carried out for SrV2Tc after structural relaxation.

Values from the calculation:
energy of formation: 0.8726 eV/atom
volume: 74.21 Å³ per cell
energy: -6.70 eV/atom

Structure (extended XYZ):
```
4
Lattice="0.000 3.335 3.335 3.335 0.000 3.335 3.335 3.335 0.000" Properties=species:S:1:pos:R:3 pbc="T T T"
Sr 0.000 0.000 0.000
V 1.668 1.668 1.668
V 5.003 5.003 5.003
Tc 3.335 3.335 3.335
```

=====

4.
A plane-wave DFT calculation with PBE-GGA was carried out for SrV2Tc after structural relaxation.

Values from the calculation:
energy of formation: 1.0342 eV/atom
volume: 199.14 Å³ per cell
energy: -6.54 eV/atom

Structure (extended XYZ):
```
8
Lattice="-2.456 2.456 8.252 2.456 -2.456 8.252 2.456 2.456 -8.252" Properties=species:S:1:pos:R:3 pbc="T T T"
Sr 2.456 1.228 2.063
Sr 0.000 1.228 6.189
V 0.000 0.000 0.000
V 1.228 1.228 -4.126
V 1.228 -1.228 4.126
V 0.000 2.456 0.000
Tc 2.456 -1.228 6.189
Tc 0.000 3.684 2.063
```

=====

5.
A plane-wave DFT calculation with PBE-GGA was carried out for SrTc2W after structural relaxation.

Values from the calculation:
energy of formation: 0.8409 eV/atom
volume: 71.05 Å³ per cell
energy: -8.00 eV/atom

Structure (extended XYZ):
```
4
Lattice="0.000 3.287 3.287 3.287 0.000 3.287 3.287 3.287 0.000" Properties=species:S:1:pos:R:3 pbc="T T T"
Sr 0.000 0.000 0.000
Tc 1.644 1.644 1.644
Tc 4.931 4.931 4.931
W 3.287 3.287 3.287
```

=====

6.
A plane-wave DFT calculation with PBE-GGA was carried out for Sr2TcW after structural relaxation.

Values from the calculation:
energy of formation: 0.5193 eV/atom
volume: 110.36 Å³ per cell
energy: -6.15 eV/atom

Structure (extended XYZ):
```
4
Lattice="3.368 0.000 0.000 0.000 3.369 0.000 -0.014 0.000 9.727" Properties=species:S:1:pos:R:3 pbc="T T T"
Sr 0.000 0.000 0.000
Sr 1.675 1.684 3.835
Tc 3.356 0.000 6.201
W 1.671 1.684 7.265
```

=====

7.
A plane-wave DFT calculation with PBE-GGA was carried out for Sr2TcW after structural relaxation.

Values from the calculation:
energy of formation: 0.4660 eV/atom
volume: 135.75 Å³ per cell
energy: -6.20 eV/atom

Structure (extended XYZ):
```
4
Lattice="2.110 1.218 8.800 -2.110 1.218 8.800 0.000 -2.436 8.800" Properties=species:S:1:pos:R:3 pbc="T T T"
Sr 0.000 0.000 0.000
Sr 0.000 0.000 4.777
Tc 0.000 0.000 19.879
W 0.000 0.000 11.274
```

=====

8.
A plane-wave DFT calculation with PBE-GGA was carried out for Sr2TcW after structural relaxation.

Values from the calculation:
energy of formation: 1.2334 eV/atom
volume: 91.56 Å³ per cell
energy: -5.44 eV/atom

Structure (extended XYZ):
```
4
Lattice="0.000 3.577 3.577 3.577 0.000 3.577 3.577 3.577 0.000" Properties=species:S:1:pos:R:3 pbc="T T T"
Sr 0.000 0.000 0.000
Sr 1.789 1.789 1.789
Tc 5.366 5.366 5.366
W 3.577 3.577 3.577
```

=====

> Which formula does entry 3 have?

SrV2Tc

=====

> energy of number 5 (SrTc2W)?

-8.00 eV/atom

=====

> energy of number 1 (Sr2VTc)?

-4.54 eV/atom